DFT (PBE) results for an optimized crystal structure of LiFeAs2.

Geometry as POSCAR:
```
LiFeAs2
1.0
5.776 0.000 0.000
0.000 7.213 0.000
0.000 0.000 2.889
Li Fe As
2 2 4
Direct
0.000 0.000 0.000 Li
0.500 0.500 0.000 Li
0.000 0.500 0.000 Fe
0.500 0.000 0.000 Fe
0.250 0.250 0.500 As
0.250 0.750 0.500 As
0.750 0.250 0.500 As
0.750 0.750 0.500 As
```

Values from the calculation:
ΔH_f (0 K) = -0.045 eV per atom
calculated volume = 120.4 Å³/cell
total magnetization = 5.2 μB/cell



DFT (PBE) results for an optimized crystal structure of AcHoTe2.

Geometry as POSCAR:
```
AcHoTe2
1.0
7.848 0.000 0.000
0.000 7.848 0.000
0.000 0.000 7.848
Ac Ho Te
4 4 8
Direct
0.000 0.000 0.000 Ac
0.000 0.500 0.500 Ac
0.500 0.000 0.500 Ac
0.500 0.500 0.000 Ac
0.000 0.000 0.500 Ho
0.000 0.500 0.000 Ho
0.500 0.000 0.000 Ho
0.500 0.500 0.500 Ho
0.250 0.250 0.250 Te
0.250 0.250 0.750 Te
0.250 0.750 0.250 Te
0.250 0.750 0.750 Te
0.750 0.250 0.250 Te
0.750 0.250 0.750 Te
0.750 0.750 0.250 Te
0.750 0.750 0.750 Te
```

Values from the calculation:
calculated volume = 483.3 Å³/cell
uncorrected formation energy = -1.2122 eV/atom
total magnetization = 0.0 μB/cell